First-principles (GGA-PBEsol) data for Zn2SbPt after structural relaxation, as listed in Alexandria.

abc: 3.9987 4.0872 4.0872
angles: 90.00 90.00 90.00
Closest atoms and distances in Å follow each position.
Positions (direct):
Zn  0.0000  0.5000  0.5000  4 Pt 2.86, 4 Sb 2.86, 4 Zn 2.89
Sb  0.5000  0.0000  0.5000  8 Zn 2.86, 4 Pt 2.89
Zn  0.0000  0.0000  0.0000  4 Sb 2.86, 4 Pt 2.86, 4 Zn 2.89
Pt  0.5000  0.5000  0.0000  8 Zn 2.86, 4 Sb 2.89

Properties
Crystal system: tetragonal
SG: No. 123
Formation energy (no corrections) in eV/atom: -0.057